# NiAgOs2O8

Crystalline NiAgOs2O8 at its relaxed geometry (PBE+U, Alexandria).

* volume: 15.6 Å³/atom
* calculated total energy: -6.34 eV/atom
* DOS(E_F): 6.50 states/eV/cell
* magnetic moment: 5.0 μB per formula unit

Structure (CIF):
```
data_NiAgOs2O8
_space_group_name_H-M_alt 'P -3'
_space_group_IT_number 147
_cell_length_a 5.7976
_cell_length_b 5.7976
_cell_length_c 6.4334
_cell_angle_alpha 90.00
_cell_angle_beta 90.00
_cell_angle_gamma 120.00
loop_
_space_group_symop_operation_xyz
'x,y,z'
'-x,-y,-z'
'-y,x-y,z'
'y,-x+y,-z'
'-x+y,-x,z'
'x-y,x,-z'
loop_
_atom_site_label
_atom_site_fract_x
_atom_site_fract_y
_atom_site_fract_z
Ni1 0.0000 0.0000 0.0000
Ag1 0.0000 0.0000 0.5000
Os1 0.3333 0.6667 0.2716
O1 0.1591 0.3214 0.1985
O2 0.3333 0.6667 0.5460
```